# Fe5CoP6O24

Crystalline Fe5CoP6O24 at its relaxed geometry (GGA+U, Alexandria).

Properties
spin magnetization	29.12	μB/cell
space group	No. 146
DFT total energy	-7.000	eV/atom

Lattice parameters (Å, degrees): 8.4067 8.4067 8.4067 61.85 61.85 61.85
Positions (direct):
1 Fe 0.0000 0.0000 0.0000
2 Fe 0.1458 0.1458 0.1458
3 Fe 0.2923 0.2923 0.2923
4 Fe 0.5009 0.5009 0.5009
5 Fe 0.6486 0.6486 0.6486
6 Co 0.7940 0.7940 0.7940
7 P 0.0992 0.6940 0.3967
8 P 0.1926 0.5989 0.8955
9 P 0.3967 0.0992 0.6940
10 P 0.5989 0.8955 0.1926
11 P 0.6940 0.3967 0.0992
12 P 0.8955 0.1926 0.5989
13 O 0.0381 0.6389 0.8213
14 O 0.0500 0.2070 0.3954
15 O 0.0844 0.8970 0.2412
16 O 0.1416 0.5389 0.3236
17 O 0.1474 0.7526 0.9712
18 O 0.2070 0.3954 0.0500
19 O 0.2412 0.0844 0.8970
20 O 0.2542 0.6525 0.4691
21 O 0.3236 0.1416 0.5389
22 O 0.3954 0.0500 0.2070
23 O 0.3959 0.5863 0.7415
24 O 0.4691 0.2542 0.6525
25 O 0.5389 0.3236 0.1416
26 O 0.5511 0.8963 0.7091
27 O 0.5863 0.7415 0.3959
28 O 0.6389 0.8213 0.0381
29 O 0.6525 0.4691 0.2542
30 O 0.7091 0.5511 0.8963
31 O 0.7415 0.3959 0.5863
32 O 0.7526 0.9712 0.1474
33 O 0.8213 0.0381 0.6389
34 O 0.8963 0.7091 0.5511
35 O 0.8970 0.2412 0.0844
36 O 0.9712 0.1474 0.7526